Record 1
{
  "formula": "Tb2DySe3",
  "functional": "PBE-GGA",
  "state": "relaxed",
  "total_magnetization_mub_per_cell": 0.00,
  "e_form_raw_ev_per_atom": -1.76,
  "density_g_cm3": 8.22,
  "lattice": [[4.104, 0.000, 0.000], [0.000, 5.765, 0.000], [-2.052, -2.883, 6.124]],
  "species": ["Se", "Se", "Se", "Tb", "Tb", "Dy"],
  "frac_coords": [[0.500, 0.000, 0.500], [0.165, 0.665, 0.831], [0.835, 0.335, 0.169], [0.168, 0.168, 0.835], [0.832, 0.832, 0.165], [0.500, 0.500, 0.500]]
}

Record 2
{
  "formula": "Tb3DySe4",
  "functional": "PBE-GGA",
  "state": "relaxed",
  "e_above_lowest_polymorph_mev_per_atom": 13,
  "total_magnetization_mub_per_cell": 0.00,
  "e_form_raw_ev_per_atom": -1.76,
  "density_g_cm3": 8.19,
  "lattice": [[5.786, 0.000, 0.000], [0.000, 5.786, 0.000], [0.000, 0.000, 5.786]],
  "species": ["Se", "Se", "Se", "Se", "Tb", "Tb", "Tb", "Dy"],
  "frac_coords": [[0.500, 0.000, 0.000], [0.500, 0.500, 0.500], [0.000, 0.000, 0.500], [0.000, 0.500, 0.000], [0.000, 0.500, 0.500], [0.500, 0.000, 0.500], [0.500, 0.500, 0.000], [0.000, 0.000, 0.000]]
}

Record 3
{
  "formula": "TbDy3Se4",
  "functional": "PBE-GGA",
  "state": "relaxed",
  "e_above_lowest_polymorph_mev_per_atom": 0,
  "total_magnetization_mub_per_cell": 0.00,
  "e_form_raw_ev_per_atom": -1.76,
  "density_g_cm3": 8.33,
  "lattice": [[-5.487, -3.978, 2.101], [5.210, -4.233, -2.304], [3.066, -0.288, 7.461]],
  "species": ["Tb", "Tb", "Se", "Se", "Se", "Se", "Se", "Se", "Se", "Se", "Dy", "Dy", "Dy", "Dy", "Dy", "Dy"],
  "frac_coords": [[0.250, 0.000, 0.125], [0.750, 0.000, 0.875], [0.500, 0.749, 0.126], [0.000, 0.251, 0.126], [0.999, 0.749, 0.376], [0.500, 0.251, 0.874], [0.501, 0.251, 0.376], [0.000, 0.749, 0.874], [0.001, 0.251, 0.624], [0.499, 0.749, 0.624], [0.750, 0.000, 0.375], [0.750, 0.500, 0.625], [0.250, 0.000, 0.625], [0.250, 0.500, 0.375], [0.750, 0.500, 0.125], [0.250, 0.500, 0.875]]
}

Record 4
{
  "formula": "Tb3Dy2Se8",
  "functional": "PBE-GGA",
  "state": "relaxed",
  "total_magnetization_mub_per_cell": 0.00,
  "e_form_raw_ev_per_atom": -1.71,
  "density_g_cm3": 6.12,
  "lattice": [[-6.550, -0.377, -2.455], [1.054, -8.011, -1.581], [-0.513, 2.621, 7.813]],
  "species": ["Se", "Se", "Se", "Se", "Se", "Se", "Se", "Se", "Tb", "Tb", "Tb", "Dy", "Dy"],
  "frac_coords": [[0.075, 0.881, 0.762], [0.415, 0.885, 0.248], [0.585, 0.115, 0.752], [0.585, 0.637, 0.752], [0.906, 0.620, 0.240], [0.094, 0.380, 0.760], [0.925, 0.119, 0.238], [0.415, 0.363, 0.248], [0.500, 0.000, 0.000], [0.000, 0.262, 0.000], [0.000, 0.738, 0.000], [0.662, 0.742, 0.485], [0.338, 0.258, 0.515]]
}

Record 5
{
  "formula": "Tb5Dy3Se8",
  "functional": "PBE-GGA",
  "state": "relaxed",
  "total_magnetization_mub_per_cell": 0.00,
  "e_form_raw_ev_per_atom": -1.76,
  "density_g_cm3": 8.22,
  "lattice": [[-7.612, 1.343, 2.676], [-1.256, 2.445, 7.704], [-2.518, 7.630, 1.511]],
  "species": ["Tb", "Tb", "Tb", "Tb", "Tb", "Se", "Se", "Se", "Se", "Se", "Se", "Se", "Se", "Dy", "Dy", "Dy"],
  "frac_coords": [[0.000, 0.500, 0.000], [0.000, 0.000, 0.000], [0.500, 0.000, 0.000], [0.500, 0.500, 0.500], [0.500, 0.500, 0.000], [0.750, 0.750, 0.251], [0.249, 0.750, 0.251], [0.250, 0.751, 0.749], [0.249, 0.249, 0.252], [0.750, 0.249, 0.251], [0.751, 0.250, 0.749], [0.751, 0.751, 0.748], [0.250, 0.250, 0.749], [0.000, 0.000, 0.500], [0.000, 0.500, 0.500], [0.500, 0.000, 0.500]]
}

Record 6
{
  "formula": "TbDy3Se4",
  "functional": "PBE-GGA",
  "state": "relaxed",
  "e_above_lowest_polymorph_mev_per_atom": 13,
  "total_magnetization_mub_per_cell": 0.00,
  "e_form_raw_ev_per_atom": -1.74,
  "density_g_cm3": 8.31,
  "lattice": [[5.771, 0.000, 0.000], [0.000, 5.771, 0.000], [0.000, 0.000, 5.771]],
  "species": ["Dy", "Dy", "Dy", "Se", "Se", "Se", "Se", "Tb"],
  "frac_coords": [[0.000, 0.500, 0.500], [0.500, 0.500, 0.000], [0.500, 0.000, 0.500], [0.500, 0.500, 0.500], [0.500, 0.000, 0.000], [0.000, 0.000, 0.500], [0.000, 0.500, 0.000], [0.000, 0.000, 0.000]]
}

Record 7
{
  "formula": "TbDy2Se",
  "functional": "PBE-GGA",
  "state": "relaxed",
  "e_above_lowest_polymorph_mev_per_atom": 0,
  "total_magnetization_mub_per_cell": 0.50,
  "e_form_raw_ev_per_atom": -0.81,
  "density_g_cm3": 7.98,
  "lattice": [[-1.074, 0.772, 3.550], [2.458, -0.406, 2.853], [3.224, 9.059, 1.026]],
  "species": ["Se", "Dy", "Dy", "Tb"],
  "frac_coords": [[0.667, 0.667, 0.000], [0.268, 0.268, 0.197], [0.066, 0.066, 0.802], [0.500, 0.500, 0.501]]
}

Record 8
{
  "formula": "TbDy3Se6",
  "functional": "PBE-GGA",
  "state": "relaxed",
  "e_above_lowest_polymorph_mev_per_atom": 27,
  "total_magnetization_mub_per_cell": 0.00,
  "e_form_raw_ev_per_atom": -1.84,
  "density_g_cm3": 6.26,
  "lattice": [[-5.155, 4.385, -4.987], [-2.499, -7.208, -3.531], [-5.994, -0.637, 5.860]],
  "species": ["Se", "Se", "Se", "Se", "Se", "Se", "Se", "Se", "Se", "Se", "Se", "Se", "Dy", "Dy", "Dy", "Dy", "Dy", "Dy", "Tb", "Tb"],
  "frac_coords": [[0.406, 0.179, 0.537], [0.463, 0.594, 0.821], [0.091, 0.915, 0.683], [0.683, 0.091, 0.915], [0.821, 0.463, 0.594], [0.085, 0.317, 0.909], [0.317, 0.909, 0.085], [0.594, 0.821, 0.463], [0.179, 0.537, 0.406], [0.915, 0.683, 0.091], [0.909, 0.085, 0.317], [0.537, 0.406, 0.179], [0.079, 0.246, 0.570], [0.754, 0.430, 0.921], [0.246, 0.570, 0.079], [0.430, 0.921, 0.754], [0.570, 0.079, 0.246], [0.921, 0.754, 0.430], [0.500, 0.500, 0.500], [0.000, 0.000, 0.000]]
}

What did the fourth record say?
{
  "formula": "Tb3Dy2Se8",
  "functional": "PBE-GGA",
  "state": "relaxed",
  "total_magnetization_mub_per_cell": 0.00,
  "e_form_raw_ev_per_atom": -1.71,
  "density_g_cm3": 6.12,
  "lattice": [[-6.550, -0.377, -2.455], [1.054, -8.011, -1.581], [-0.513, 2.621, 7.813]],
  "species": ["Se", "Se", "Se", "Se", "Se", "Se", "Se", "Se", "Tb", "Tb", "Tb", "Dy", "Dy"],
  "frac_coords": [[0.075, 0.881, 0.762], [0.415, 0.885, 0.248], [0.585, 0.115, 0.752], [0.585, 0.637, 0.752], [0.906, 0.620, 0.240], [0.094, 0.380, 0.760], [0.925, 0.119, 0.238], [0.415, 0.363, 0.248], [0.500, 0.000, 0.000], [0.000, 0.262, 0.000], [0.000, 0.738, 0.000], [0.662, 0.742, 0.485], [0.338, 0.258, 0.515]]
}

- Which formula does entry 1 have?
  Tb2DySe3